This record from Alexandria describes a relaxed structure of KW2Br. The functional is GGA-PBEsol.

Values from the calculation:
energy: -6.617 eV/atom

Lattice parameters (Å, degrees): 2.810 4.815 6.467 111.86 102.55 90.00
Positions (direct):
Br 0.500 0.000 0.000
K 0.000 0.500 0.000
W 0.790 0.790 0.581
W 0.210 0.210 0.419

***

This record from Alexandria describes a relaxed structure of WS3N. The functional is GGA-PBEsol.

Values from the calculation:
energy: -6.036 eV/atom

Lattice parameters (Å, degrees): 3.964 3.964 3.964 90.00 90.00 90.00
Positions (direct):
S 0.000 0.500 0.000
S 0.000 0.000 0.500
S 0.500 0.000 0.000
W 0.500 0.500 0.500
N 0.000 0.000 0.000

***

This record from Alexandria describes a relaxed structure of Zr2TlCuN. The functional is GGA-PBEsol.

Values from the calculation:
energy: -7.347 eV/atom

Lattice parameters (Å, degrees): 4.041 4.469 4.469 90.00 90.00 90.00
Positions (direct):
Tl 0.500 0.500 0.500
Cu 0.500 0.000 0.000
Zr 0.000 0.000 0.500
Zr 0.000 0.500 0.000
N 0.000 0.000 0.000

***

This record from Alexandria describes a relaxed structure of Ga2Tc2P. The functional is GGA-PBEsol.

Values from the calculation:
formation energy: -21 kJ per mole of atoms
energy: -7.222 eV/atom

Lattice parameters (Å, degrees): 3.860 6.159 6.159 90.00 90.00 90.00
Positions (direct):
P 0.000 0.000 0.000
P 0.000 0.500 0.500
Tc 0.000 0.339 0.839
Tc 0.000 0.839 0.661
Tc 0.000 0.661 0.161
Tc 0.000 0.161 0.339
Ga 0.500 0.148 0.648
Ga 0.500 0.648 0.852
Ga 0.500 0.852 0.352
Ga 0.500 0.352 0.148

***

This record from Alexandria describes a relaxed structure of DyInO3. The functional is GGA-PBEsol.

Values from the calculation:
energy: -7.365 eV/atom

Lattice parameters (Å, degrees): 6.271 6.271 12.210 90.00 90.00 120.00
Positions (direct):
Dy 0.333 0.667 0.270
Dy 0.000 0.000 0.233
Dy 0.000 0.000 0.733
Dy 0.333 0.667 0.770
Dy 0.667 0.333 0.770
Dy 0.667 0.333 0.270
In 0.334 0.000 0.004
In 0.666 0.000 0.504
In 0.666 0.666 0.004
In 0.334 0.334 0.504
In 0.000 0.666 0.504
In 0.000 0.334 0.004
O 0.305 0.000 0.832
O 0.363 0.000 0.174
O 0.637 0.000 0.674
O 0.695 0.000 0.332
O 0.333 0.667 0.473
O 0.000 0.000 0.038
O 0.333 0.667 0.973
O 0.000 0.000 0.538
O 0.695 0.695 0.832
O 0.637 0.637 0.174
O 0.000 0.695 0.332
O 0.363 0.363 0.674
O 0.305 0.305 0.332
O 0.000 0.637 0.674
O 0.667 0.333 0.973
O 0.667 0.333 0.473
O 0.000 0.363 0.174
O 0.000 0.305 0.832

***

This record from Alexandria describes a relaxed structure of Zn2SeCl2O3. The functional is GGA-PBEsol.

Values from the calculation:
energy: -4.442 eV/atom

Lattice parameters (Å, degrees): 7.578 10.265 15.118 90.00 90.00 90.00
Positions (direct):
Zn 0.400 0.227 0.524
Zn 0.344 0.496 0.385
Zn 0.900 0.273 0.524
Zn 0.844 0.496 0.115
Zn 0.600 0.727 0.024
Zn 0.156 0.504 0.885
Zn 0.656 0.996 0.885
Zn 0.344 0.004 0.115
Zn 0.900 0.227 0.976
Zn 0.100 0.727 0.476
Zn 0.844 0.004 0.385
Zn 0.156 0.996 0.615
Zn 0.600 0.773 0.476
Zn 0.656 0.504 0.615
Zn 0.100 0.773 0.024
Zn 0.400 0.273 0.976
Se 0.222 0.462 0.594
Se 0.778 0.962 0.094
Se 0.722 0.038 0.594
Se 0.778 0.538 0.406
Se 0.278 0.538 0.094
Se 0.722 0.462 0.906
Se 0.278 0.962 0.406
Se 0.222 0.038 0.906
Cl 0.346 0.415 0.795
Cl 0.931 0.288 0.125
Cl 0.154 0.585 0.295
Cl 0.154 0.915 0.205
Cl 0.431 0.212 0.125
Cl 0.569 0.788 0.875
Cl 0.654 0.585 0.205
Cl 0.431 0.288 0.375
Cl 0.654 0.915 0.295
Cl 0.931 0.212 0.375
Cl 0.569 0.712 0.625
Cl 0.069 0.712 0.875
Cl 0.069 0.788 0.625
Cl 0.346 0.085 0.705
Cl 0.846 0.415 0.705
Cl 0.846 0.085 0.795
O 0.650 0.312 0.943
O 0.850 0.688 0.443
O 0.794 0.050 0.994
O 0.062 0.909 0.416
O 0.294 0.450 0.994
O 0.794 0.450 0.506
O 0.062 0.591 0.084
O 0.206 0.550 0.494
O 0.350 0.688 0.057
O 0.850 0.812 0.057
O 0.294 0.050 0.506
O 0.706 0.550 0.006
O 0.150 0.188 0.943
O 0.438 0.409 0.584
O 0.206 0.950 0.006
O 0.938 0.409 0.916
O 0.562 0.591 0.416
O 0.706 0.950 0.494
O 0.938 0.091 0.584
O 0.438 0.091 0.916
O 0.650 0.188 0.557
O 0.150 0.312 0.557
O 0.350 0.812 0.443
O 0.562 0.909 0.084

***

This record from Alexandria describes a relaxed structure of CdGePt3. The functional is GGA-PBEsol.

Values from the calculation:
formation energy: 139 kJ per mole of atoms
energy: -3.967 eV/atom

Lattice parameters (Å, degrees): 4.864 4.864 4.864 90.00 90.00 90.00
Positions (direct):
Ge 0.500 0.500 0.500
Pt 0.000 0.500 0.000
Pt 0.000 0.000 0.500
Pt 0.500 0.000 0.000
Cd 0.000 0.000 0.000

***

This record from Alexandria describes a relaxed structure of CrInNi2. The functional is GGA-PBEsol.

Values from the calculation:
formation energy: 10 kJ per mole of atoms
energy: -6.277 eV/atom

Lattice parameters (Å, degrees): 3.446 3.946 3.946 90.00 90.00 90.00
Positions (direct):
Cr 0.500 0.500 0.500
In 0.500 0.000 0.000
Ni 0.000 0.000 0.500
Ni 0.000 0.500 0.000